Computed, not measured: a relaxed structure of MgSnF at the PBE level of DFT.

abc: 3.533 3.533 8.882
angles: 90.00 90.00 90.00
Positions (direct):
Mg (0.250, 0.250, 0.134)
Mg (0.750, 0.750, 0.866)
Sn (0.250, 0.250, 0.626)
Sn (0.750, 0.750, 0.374)
F (0.250, 0.750, 0.000)
F (0.750, 0.250, 0.000)

Results
M_tot ... 0.0 Bohr magnetons per cell
Relative energy among the computed polymorphs ... 43 meV/atom
Calculated density ... 4.85 Mg/m³
N(E_F) ... 1.09 states/eV/cell

=====

Computed, not measured: a relaxed structure of Tb3Pm12Th at the PBE level of DFT.

abc: 5.134 5.134 20.522
angles: 90.00 90.00 90.00
Positions (direct):
Tb (0.000, 0.000, 0.000)
Tb (0.000, 0.000, 0.250)
Tb (0.000, 0.000, 0.750)
Pm (0.000, 0.500, 0.125)
Pm (0.000, 0.500, 0.377)
Pm (0.000, 0.500, 0.623)
Pm (0.000, 0.500, 0.875)
Pm (0.500, 0.000, 0.125)
Pm (0.500, 0.000, 0.377)
Pm (0.500, 0.000, 0.623)
Pm (0.500, 0.000, 0.875)
Pm (0.500, 0.500, 0.000)
Pm (0.500, 0.500, 0.248)
Pm (0.500, 0.500, 0.500)
Pm (0.500, 0.500, 0.752)
Th (0.000, 0.000, 0.500)

Results
M_tot ... 0.0 Bohr magnetons per cell
Calculated density ... 7.52 Mg/m³
Raw total energy ... -4.8706 eV per atom
N(E_F) ... 22.54 states/eV/cell

=====

Computed, not measured: a relaxed structure of OsRu2W at the PBE level of DFT.

abc: 5.599 5.599 11.090
angles: 90.00 90.00 90.00
Positions (direct):
Os (0.000, 0.000, 0.000)
Os (0.000, 0.500, 0.250)
Os (0.500, 0.000, 0.750)
Os (0.500, 0.500, 0.500)
Ru (0.242, 0.250, 0.125)
Ru (0.250, 0.742, 0.375)
Ru (0.250, 0.758, 0.875)
Ru (0.258, 0.250, 0.625)
Ru (0.742, 0.750, 0.625)
Ru (0.750, 0.242, 0.875)
Ru (0.750, 0.258, 0.375)
Ru (0.758, 0.750, 0.125)
W (0.000, 0.000, 0.500)
W (0.000, 0.500, 0.750)
W (0.500, 0.000, 0.250)
W (0.500, 0.500, 0.000)

Results
M_tot ... 0.0 Bohr magnetons per cell
Relative energy among the computed polymorphs ... 1419 meV/atom
Calculated density ... 11.01 Mg/m³
N(E_F) ... 19.41 states/eV/cell